Entry from Alexandria via LeMat-Bulk: Ba2FeAsIr after structural relaxation (PBE).

Geometry as POSCAR:
```
Ba2FeAsIr
1.0
-4.566 2.848 2.552
-1.976 -3.820 0.728
2.710 -0.394 5.288
As Ir Fe Ba
1 1 1 2
direct
0.500 0.500 0.500 As
0.000 0.500 0.000 Ir
0.000 0.000 0.000 Fe
0.500 0.000 0.000 Ba
0.000 0.000 0.500 Ba
```

Values from the calculation:
- ΔH_f (0 K) (eV per atom) = 0.309
- space group = No. 123
- total energy (eV/atom) = -4.854